(1)
Here is crystalline Ac2SnIr2 at its relaxed geometry from the Alexandria database. Energies are from GGA-PBE.

Properties
As for the total moment: 0.00 Bohr magnetons per cell. As for the energy above the most stable polymorph in this dataset: 58.8 kJ/mol of formula units. The total DFT energy (no corrections) comes out at -6.563 eV per atom. For the formation energy from the elements, the calculation gives -0.5749 eV per atom.

a = 7.770 Å, b = 7.770 Å, c = 4.311 Å
α = 90.00°, β = 90.00°, γ = 90.00°
Space group P4/mbm (No. 127)
Asymmetric unit:
1 Ac 0.180 0.320 0.000 [4 per cell]
2 Sn 0.000 0.000 0.500 [2 per cell]
3 Ir 0.121 0.621 0.500 [4 per cell]

=====

(2)
Here is crystalline SrAc2Te3 at its relaxed geometry from the Alexandria database. Energies are from GGA-PBE.

Properties
As for the total moment: 0.00 Bohr magnetons per cell. The total DFT energy (no corrections) comes out at -4.781 eV per atom.

a = 4.688 Å, b = 6.682 Å, c = 14.325 Å
α = 90.00°, β = 90.00°, γ = 90.00°
Space group Immm (No. 71)
Asymmetric unit:
1 Sr 0.000 0.000 0.000 [2 per cell]
2 Ac 0.000 0.000 0.333 [4 per cell]
3 Te 0.000 0.500 0.000 [2 per cell]
4 Te 0.000 0.500 0.337 [4 per cell]

=====

(3)
Here is crystalline MnFeIr2 at its relaxed geometry from the Alexandria database. Energies are from GGA-PBE.

Properties
As for the total moment: 15.95 Bohr magnetons per cell. As for the energy above the most stable polymorph in this dataset: 86.1 kJ/mol of formula units. The total DFT energy (no corrections) comes out at -8.806 eV per atom. For the formation energy from the elements, the calculation gives 0.0330 eV per atom.

a = 2.7301 Å, b = 2.7301 Å, c = 25.3049 Å
α = 90.00°, β = 90.00°, γ = 120.00°
Space group R3m (No. 160, hexagonal axes)
Asymmetric unit:
1 Mn 0.0000 0.0000 0.0000 [3 per cell]
2 Fe 0.0000 0.0000 0.7463 [3 per cell]
3 Ir 0.0000 0.0000 0.2519 [3 per cell]
4 Ir 0.0000 0.0000 0.4942 [3 per cell]

=====

(4)
Here is crystalline Tb4PmPrEr2 at its relaxed geometry from the Alexandria database. Energies are from GGA-PBE.

Properties
As for the total moment: 2.07 Bohr magnetons per cell. The total DFT energy (no corrections) comes out at -4.226 eV per atom. For the formation energy from the elements, the calculation gives 0.4207 eV per atom.

a = 13.649 Å, b = 13.231 Å, c = 6.815 Å
α = 90.00°, β = 119.88°, γ = 90.00°
Space group C2/c (No. 15)
Asymmetric unit:
1 Tb 0.009 0.245 0.009 [8 per cell]
2 Tb 0.246 0.002 0.489 [8 per cell]
3 Pm 0.250 0.250 0.000 [4 per cell]
4 Pr 0.000 0.500 0.000 [4 per cell]
5 Er 0.000 0.000 0.000 [4 per cell]
6 Er 0.250 0.250 0.500 [4 per cell]

=====

Look up the total moment of the fourth one.
2.07 Bohr magnetons per cell

=====

Which formula does entry 1 have?
Ac2SnIr2

=====

Look up the total DFT energy (no corrections) of the first one.
-6.563 eV per atom

=====

Copy entry 2 word for word.
Here is crystalline SrAc2Te3 at its relaxed geometry from the Alexandria database. Energies are from GGA-PBE.

Properties
As for the total moment: 0.00 Bohr magnetons per cell. The total DFT energy (no corrections) comes out at -4.781 eV per atom.

a = 4.688 Å, b = 6.682 Å, c = 14.325 Å
α = 90.00°, β = 90.00°, γ = 90.00°
Space group Immm (No. 71)
Asymmetric unit:
1 Sr 0.000 0.000 0.000 [2 per cell]
2 Ac 0.000 0.000 0.333 [4 per cell]
3 Te 0.000 0.500 0.000 [2 per cell]
4 Te 0.000 0.500 0.337 [4 per cell]